A | # PBE+U MgMn2B8O14, optimized geometry
# DOS(E_F), states/eV/f.u.: 2.90
# Magnetization, Bohr magnetons per cell: 16.23
data_MgMn2B8O14
_chemical_formula_sum 'Mg2 Mn4 B16 O28'
_cell_length_a 5.240
_cell_length_b 11.176
_cell_length_c 7.055
_cell_angle_alpha 90.00
_cell_angle_beta 90.00
_cell_angle_gamma 90.00
_space_group_name_H-M_alt 'A m m 2'
_space_group_IT_number 38
loop_
_space_group_symop_operation_xyz
'x,y,z'
'-x,-y,z'
'-x,y,z'
'x,-y,z'
'x,y+1/2,z+1/2'
'-x,-y+1/2,z+1/2'
'-x,y+1/2,z+1/2'
'x,-y+1/2,z+1/2'
loop_
_atom_site_label
_atom_site_type_symbol
_atom_site_fract_x
_atom_site_fract_y
_atom_site_fract_z
_atom_site_occupancy
Mg1 Mg 0.000 0.000 0.000 1
Mn1 Mn 0.000 0.000 0.343 1
Mn2 Mn 0.500 0.000 0.763 1
B1 B 0.000 0.127 0.726 1
B2 B 0.258 0.216 0.019 1
B3 B 0.500 0.116 0.290 1
O1 O 0.000 0.000 0.652 1
O2 O 0.000 0.207 0.549 1
O3 O 0.221 0.139 0.851 1
O4 O 0.273 0.143 0.188 1
O5 O 0.500 0.000 0.381 1
O6 O 0.500 0.211 0.488 1

***

B | # PBE+U MgMn2B8O14, optimized geometry
# DOS(E_F), states/eV/f.u.: 2.07
# Magnetization, Bohr magnetons per cell: 16.09
data_MgMn2B8O14
_chemical_formula_sum 'Mg2 Mn4 B16 O28'
_cell_length_a 10.507
_cell_length_b 10.289
_cell_length_c 5.046
_cell_angle_alpha 90.00
_cell_angle_beta 101.01
_cell_angle_gamma 90.00
_space_group_name_H-M_alt 'C 1 2/m 1'
_space_group_IT_number 12
loop_
_space_group_symop_operation_xyz
'x,y,z'
'-x,-y,-z'
'-x,y,-z'
'x,-y,z'
'x+1/2,y+1/2,z'
'-x+1/2,-y+1/2,-z'
'-x+1/2,y+1/2,-z'
'x+1/2,-y+1/2,z'
loop_
_atom_site_label
_atom_site_type_symbol
_atom_site_fract_x
_atom_site_fract_y
_atom_site_fract_z
_atom_site_occupancy
Mg1 Mg 0.000 0.000 0.000 1
Mn1 Mn 0.189 0.500 0.823 1
B1 B 0.000 0.241 0.500 1
B2 B 0.000 0.253 0.000 1
B3 B 0.156 0.384 0.321 1
O1 O 0.006 0.172 0.761 1
O2 O 0.116 0.345 0.063 1
O3 O 0.118 0.331 0.538 1
O4 O 0.230 0.500 0.370 1

***

C | # PBE+U MgMn2B8O14, optimized geometry
# Magnetization, Bohr magnetons per cell: 10.00
data_MgMn2B8O14
_chemical_formula_sum 'Mg1 Mn2 B8 O14'
_cell_length_a 6.399
_cell_length_b 5.156
_cell_length_c 8.870
_cell_angle_alpha 90.00
_cell_angle_beta 102.53
_cell_angle_gamma 90.00
_space_group_name_H-M_alt 'P 1 m 1'
_space_group_IT_number 6
loop_
_space_group_symop_operation_xyz
'x,y,z'
'x,-y,z'
loop_
_atom_site_label
_atom_site_type_symbol
_atom_site_fract_x
_atom_site_fract_y
_atom_site_fract_z
_atom_site_occupancy
Mg1 Mg 0.000 0.000 0.000 1
Mn1 Mn 0.160 0.000 0.332 1
Mn2 Mn 0.636 0.500 0.734 1
B1 B 0.059 0.500 0.442 1
B2 B 0.150 0.265 0.695 1
B3 B 0.366 0.500 0.322 1
B4 B 0.485 0.000 0.795 1
B5 B 0.698 0.239 0.411 1
B6 B 0.791 0.000 0.667 1
O1 O 0.038 0.000 0.734 1
O2 O 0.068 0.500 0.754 1
O3 O 0.136 0.269 0.531 1
O4 O 0.144 0.500 0.300 1
O5 O 0.383 0.232 0.778 1
O6 O 0.470 0.268 0.337 1
O7 O 0.711 0.000 0.821 1
O8 O 0.715 0.228 0.583 1
O9 O 0.784 0.000 0.360 1
O10 O 0.814 0.500 0.386 1

***

So which one wins? Going from most stable to least: C, B, A.